[1]
Density functional theory data (PBE) for a relaxed structure of Pm2Tl4Se5.

Cell and atoms, written as CIF:
```
data_Pm2Tl4Se5
_cell_length_a 23.984
_cell_length_b 23.984
_cell_length_c 23.984
_cell_angle_alpha 10.26
_cell_angle_beta 10.26
_cell_angle_gamma 10.26
_space_group_name_H-M_alt 'P 1'
_space_group_IT_number 1
loop_
_space_group_symop_operation_xyz
'x,y,z'
loop_
_atom_site_label
_atom_site_type_symbol
_atom_site_fract_x
_atom_site_fract_y
_atom_site_fract_z
Pm1 Pm 0.141 0.141 0.141
Pm2 Pm 0.859 0.859 0.859
Tl1 Tl 0.313 0.313 0.313
Tl2 Tl 0.413 0.413 0.413
Tl3 Tl 0.587 0.587 0.587
Tl4 Tl 0.687 0.687 0.687
Se1 Se 0.213 0.213 0.213
Se2 Se 0.375 0.375 0.375
Se3 Se 0.500 0.500 0.500
Se4 Se 0.625 0.625 0.625
Se5 Se 0.787 0.787 0.787
```

Calculated values
Total magnetic moment: 0.00 μB per formula unit
E: -4.216 eV per atom
Energy relative to the elements, uncorrected: -0.91 eV per atom
N(E_F): 2.8 states/eV/cell

[2]
Density functional theory data (PBE) for a relaxed structure of AgHg2Rh.

Cell and atoms, written as CIF:
```
data_AgHg2Rh
_cell_length_a 3.070
_cell_length_b 3.070
_cell_length_c 27.667
_cell_angle_alpha 90.00
_cell_angle_beta 90.00
_cell_angle_gamma 120.00
_space_group_name_H-M_alt 'P 1'
_space_group_IT_number 1
loop_
_space_group_symop_operation_xyz
'x,y,z'
loop_
_atom_site_label
_atom_site_type_symbol
_atom_site_fract_x
_atom_site_fract_y
_atom_site_fract_z
Ag1 Ag 0.000 0.000 0.000
Ag2 Ag 0.333 0.667 0.667
Ag3 Ag 0.667 0.333 0.333
Hg1 Hg 0.000 0.000 0.246
Hg2 Hg 0.000 0.000 0.754
Hg3 Hg 0.333 0.667 0.420
Hg4 Hg 0.333 0.667 0.913
Hg5 Hg 0.667 0.333 0.087
Hg6 Hg 0.667 0.333 0.580
Rh1 Rh 0.000 0.000 0.500
Rh2 Rh 0.333 0.667 0.167
Rh3 Rh 0.667 0.333 0.833
```

Calculated values
Total magnetic moment: 0.00 μB per formula unit
E: -2.529 eV per atom
ΔE_f: 0.172 eV/atom
N(E_F): 9.1 states/eV/cell

[3]
Density functional theory data (PBE) for a relaxed structure of CuPbCl.

Cell and atoms, written as CIF:
```
data_CuPbCl
_cell_length_a 3.398
_cell_length_b 3.398
_cell_length_c 11.649
_cell_angle_alpha 90.00
_cell_angle_beta 90.00
_cell_angle_gamma 90.00
_space_group_name_H-M_alt 'P 1'
_space_group_IT_number 1
loop_
_space_group_symop_operation_xyz
'x,y,z'
loop_
_atom_site_label
_atom_site_type_symbol
_atom_site_fract_x
_atom_site_fract_y
_atom_site_fract_z
Cu1 Cu 0.000 0.000 0.000
Cu2 Cu 0.500 0.500 0.500
Pb1 Pb 0.000 0.000 0.351
Pb2 Pb 0.500 0.500 0.851
Cl1 Cl 0.000 0.000 0.618
Cl2 Cl 0.500 0.500 0.118
```

Calculated values
Total magnetic moment: 0.00 μB per formula unit
E: -3.322 eV per atom
Energy relative to the lowest polymorph listed for this composition: 0.114 eV per atom
Energy relative to the elements, uncorrected: -0.11 eV per atom
N(E_F): 1.5 states/eV/cell

[4]
Density functional theory data (PBE) for a relaxed structure of Ca2MgBi3.

Cell and atoms, written as CIF:
```
data_Ca2MgBi3
_cell_length_a 7.986
_cell_length_b 4.743
_cell_length_c 20.048
_cell_angle_alpha 90.00
_cell_angle_beta 90.00
_cell_angle_gamma 90.00
_space_group_name_H-M_alt 'P 1'
_space_group_IT_number 1
loop_
_space_group_symop_operation_xyz
'x,y,z'
loop_
_atom_site_label
_atom_site_type_symbol
_atom_site_fract_x
_atom_site_fract_y
_atom_site_fract_z
Ca1 Ca 0.126 0.250 0.087
Ca2 Ca 0.131 0.250 0.288
Ca3 Ca 0.369 0.750 0.788
Ca4 Ca 0.374 0.750 0.587
Ca5 Ca 0.626 0.250 0.413
Ca6 Ca 0.631 0.250 0.212
Ca7 Ca 0.869 0.750 0.712
Ca8 Ca 0.874 0.750 0.913
Mg1 Mg 0.070 0.750 0.442
Mg2 Mg 0.430 0.250 0.942
Mg3 Mg 0.570 0.750 0.058
Mg4 Mg 0.930 0.250 0.558
Bi1 Bi 0.097 0.250 0.830
Bi2 Bi 0.160 0.250 0.677
Bi3 Bi 0.243 0.750 0.983
Bi4 Bi 0.257 0.250 0.483
Bi5 Bi 0.340 0.750 0.177
Bi6 Bi 0.403 0.750 0.330
Bi7 Bi 0.597 0.250 0.670
Bi8 Bi 0.660 0.250 0.823
Bi9 Bi 0.743 0.750 0.517
Bi10 Bi 0.757 0.250 0.017
Bi11 Bi 0.840 0.750 0.323
Bi12 Bi 0.903 0.750 0.170
```

Calculated values
Total magnetic moment: 0.00 μB per formula unit
E: -3.428 eV per atom
Energy relative to the lowest polymorph listed for this composition: 0.000 eV per atom
ΔE_f: -0.554 eV/atom
N(E_F): 5.7 states/eV/cell

[5]
Density functional theory data (PBE) for a relaxed structure of Tb2Ni2Sn.

Cell and atoms, written as CIF:
```
data_Tb2Ni2Sn
_cell_length_a 7.405
_cell_length_b 7.405
_cell_length_c 3.675
_cell_angle_alpha 90.00
_cell_angle_beta 90.00
_cell_angle_gamma 90.00
_space_group_name_H-M_alt 'P 1'
_space_group_IT_number 1
loop_
_space_group_symop_operation_xyz
'x,y,z'
loop_
_atom_site_label
_atom_site_type_symbol
_atom_site_fract_x
_atom_site_fract_y
_atom_site_fract_z
Tb1 Tb 0.175 0.325 0.000
Tb2 Tb 0.325 0.825 0.000
Tb3 Tb 0.675 0.175 0.000
Tb4 Tb 0.825 0.675 0.000
Ni1 Ni 0.119 0.619 0.500
Ni2 Ni 0.381 0.119 0.500
Ni3 Ni 0.619 0.881 0.500
Ni4 Ni 0.881 0.381 0.500
Sn1 Sn 0.000 0.000 0.500
Sn2 Sn 0.500 0.500 0.500
```

Calculated values
Total magnetic moment: 0.00 μB per formula unit
E: -5.556 eV per atom
ΔE_f: -0.590 eV/atom
N(E_F): 7.4 states/eV/cell

[6]
Density functional theory data (PBE) for a relaxed structure of Ho2TmTl.

Cell and atoms, written as CIF:
```
data_Ho2TmTl
_cell_length_a 3.532
_cell_length_b 3.532
_cell_length_c 32.947
_cell_angle_alpha 90.00
_cell_angle_beta 90.00
_cell_angle_gamma 120.00
_space_group_name_H-M_alt 'P 1'
_space_group_IT_number 1
loop_
_space_group_symop_operation_xyz
'x,y,z'
loop_
_atom_site_label
_atom_site_type_symbol
_atom_site_fract_x
_atom_site_fract_y
_atom_site_fract_z
Ho1 Ho 0.000 0.000 0.247
Ho2 Ho 0.000 0.000 0.753
Ho3 Ho 0.333 0.667 0.419
Ho4 Ho 0.333 0.667 0.914
Ho5 Ho 0.667 0.333 0.086
Ho6 Ho 0.667 0.333 0.581
Tm1 Tm 0.000 0.000 0.000
Tm2 Tm 0.333 0.667 0.667
Tm3 Tm 0.667 0.333 0.333
Tl1 Tl 0.000 0.000 0.500
Tl2 Tl 0.333 0.667 0.167
Tl3 Tl 0.667 0.333 0.833
```

Calculated values
Total magnetic moment: 0.00 μB per formula unit
E: -4.103 eV per atom
Energy relative to the lowest polymorph listed for this composition: 0.063 eV per atom
ΔE_f: -0.105 eV/atom
N(E_F): 12.5 states/eV/cell

[7]
Density functional theory data (PBE) for a relaxed structure of Pr9Tm2Tl.

Cell and atoms, written as CIF:
```
data_Pr9Tm2Tl
_cell_length_a 5.103
_cell_length_b 5.103
_cell_length_c 15.559
_cell_angle_alpha 90.00
_cell_angle_beta 90.00
_cell_angle_gamma 90.00
_space_group_name_H-M_alt 'P 1'
_space_group_IT_number 1
loop_
_space_group_symop_operation_xyz
'x,y,z'
loop_
_atom_site_label
_atom_site_type_symbol
_atom_site_fract_x
_atom_site_fract_y
_atom_site_fract_z
Pr1 Pr 0.000 0.000 0.000
Pr2 Pr 0.000 0.000 0.332
Pr3 Pr 0.000 0.000 0.668
Pr4 Pr 0.000 0.500 0.163
Pr5 Pr 0.000 0.500 0.500
Pr6 Pr 0.000 0.500 0.837
Pr7 Pr 0.500 0.000 0.163
Pr8 Pr 0.500 0.000 0.500
Pr9 Pr 0.500 0.000 0.837
Tm1 Tm 0.500 0.500 0.332
Tm2 Tm 0.500 0.500 0.668
Tl1 Tl 0.500 0.500 0.000
```

Calculated values
Total magnetic moment: 0.00 μB per formula unit
E: -4.580 eV per atom
ΔE_f: -0.053 eV/atom
N(E_F): 14.5 states/eV/cell

[8]
Density functional theory data (PBE) for a relaxed structure of CsAsN2O.

Cell and atoms, written as CIF:
```
data_CsAsN2O
_cell_length_a 4.258
_cell_length_b 4.258
_cell_length_c 4.065
_cell_angle_alpha 90.00
_cell_angle_beta 90.00
_cell_angle_gamma 90.00
_space_group_name_H-M_alt 'P 1'
_space_group_IT_number 1
loop_
_space_group_symop_operation_xyz
'x,y,z'
loop_
_atom_site_label
_atom_site_type_symbol
_atom_site_fract_x
_atom_site_fract_y
_atom_site_fract_z
Cs1 Cs 0.000 0.000 0.000
As1 As 0.500 0.500 0.500
N1 N 0.000 0.500 0.500
N2 N 0.500 0.000 0.500
O1 O 0.500 0.500 0.000
```

Calculated values
Total magnetic moment: 2.75 μB per formula unit
E: -4.612 eV per atom
Energy relative to the elements, uncorrected: 0.81 eV per atom
N(E_F): 2.6 states/eV/cell

[9]
Density functional theory data (PBE) for a relaxed structure of Sm3CuRh2.

Cell and atoms, written as CIF:
```
data_Sm3CuRh2
_cell_length_a 3.521
_cell_length_b 3.521
_cell_length_c 10.587
_cell_angle_alpha 90.00
_cell_angle_beta 90.00
_cell_angle_gamma 90.00
_space_group_name_H-M_alt 'P 1'
_space_group_IT_number 1
loop_
_space_group_symop_operation_xyz
'x,y,z'
loop_
_atom_site_label
_atom_site_type_symbol
_atom_site_fract_x
_atom_site_fract_y
_atom_site_fract_z
Sm1 Sm 0.000 0.000 0.000
Sm2 Sm 0.000 0.000 0.327
Sm3 Sm 0.000 0.000 0.673
Cu1 Cu 0.500 0.500 0.500
Rh1 Rh 0.500 0.500 0.167
Rh2 Rh 0.500 0.500 0.833
```

Calculated values
Total magnetic moment: 0.00 μB per formula unit
E: -6.034 eV per atom
Energy relative to the lowest polymorph listed for this composition: 0.039 eV per atom
ΔE_f: -0.542 eV/atom
N(E_F): 6.5 states/eV/cell

[10]
Density functional theory data (PBE) for a relaxed structure of HoHgSb.

Cell and atoms, written as CIF:
```
data_HoHgSb
_cell_length_a 3.392
_cell_length_b 4.760
_cell_length_c 10.885
_cell_angle_alpha 78.20
_cell_angle_beta 89.73
_cell_angle_gamma 89.66
_space_group_name_H-M_alt 'P 1'
_space_group_IT_number 1
loop_
_space_group_symop_operation_xyz
'x,y,z'
loop_
_atom_site_label
_atom_site_type_symbol
_atom_site_fract_x
_atom_site_fract_y
_atom_site_fract_z
Ho1 Ho 0.003 0.350 0.289
Ho2 Ho 0.997 0.650 0.711
Hg1 Hg 0.497 0.219 0.567
Hg2 Hg 0.503 0.781 0.433
Sb1 Sb 0.496 0.089 0.842
Sb2 Sb 0.504 0.911 0.158
```

Calculated values
Total magnetic moment: 0.00 μB per formula unit
E: -3.443 eV per atom
Energy relative to the lowest polymorph listed for this composition: 0.079 eV per atom
Energy relative to the elements, uncorrected: -0.44 eV per atom
N(E_F): 2.8 states/eV/cell